a) Y4Co5 PBE-GGA relaxed; symmetry = No. 193; volume = 18.37 Å³/atom
1.0
8.1562 0.0000 0.0000
-4.0781 7.0635 0.0000
0.0000 0.0000 5.7398
Y Co
8 10
direct
0.0000 0.0000 0.0000
0.0000 0.0000 0.5000
0.0000 0.3778 0.2500
0.0000 0.6222 0.7500
0.3778 0.0000 0.2500
0.3778 0.3778 0.7500
0.6222 0.0000 0.7500
0.6222 0.6222 0.2500
0.0000 0.3034 0.7500
0.0000 0.6966 0.2500
0.3034 0.0000 0.7500
0.3034 0.3034 0.2500
0.3333 0.6667 0.0000
0.3333 0.6667 0.5000
0.6667 0.3333 0.0000
0.6667 0.3333 0.5000
0.6966 0.0000 0.2500
0.6966 0.6966 0.7500


b) Y4Co5 PBE-GGA relaxed; symmetry = No. 139; volume = 18.85 Å³/atom
1.0
-4.4573 4.4573 2.1351
4.4573 -4.4573 2.1351
4.4573 4.4573 -2.1351
Y Co
4 5
direct
0.0000 0.2850 0.2850
0.0000 0.7150 0.7150
0.2850 0.0000 0.2850
0.7150 0.0000 0.7150
0.0000 0.0000 0.0000
0.3592 0.3592 0.7184
0.3592 0.6408 0.0000
0.6408 0.3592 0.0000
0.6408 0.6408 0.2816


Each structure's energy above the most stable one, in eV/atom: a) 0.100; b) 0.000.


a) YCo4 PBE-GGA relaxed; symmetry = No. 139; volume = 17.21 Å³/atom
1.0
-3.9858 3.9858 1.3541
3.9858 -3.9858 1.3541
3.9858 3.9858 -1.3541
Y Co
1 4
direct
0.0000 0.0000 0.0000
0.0000 0.3299 0.3299
0.0000 0.6701 0.6701
0.3299 0.0000 0.3299
0.6701 0.0000 0.6701


b) YCo4 PBE-GGA relaxed; symmetry = No. 221; volume = 19.08 Å³/atom
1.0
4.5691 0.0000 0.0000
0.0000 4.5691 0.0000
0.0000 0.0000 4.5691
Y Co
1 4
direct
0.0000 0.0000 0.0000
0.0000 0.0000 0.5000
0.0000 0.5000 0.0000
0.5000 0.0000 0.0000
0.5000 0.5000 0.5000


c) YCo4 PBE-GGA relaxed; symmetry = No. 229; volume = 18.27 Å³/atom
1.0
-2.8372 2.8372 2.8372
2.8372 -2.8372 2.8372
2.8372 2.8372 -2.8372
Y Co
1 4
direct
0.0000 0.0000 0.0000
0.0000 0.0000 0.5000
0.0000 0.5000 0.0000
0.5000 0.0000 0.0000
0.5000 0.5000 0.5000


Each structure's energy above the most stable one, in eV/atom: a) 0.000; b) 1.087; c) 0.666.


a) YCo4 PBE-GGA relaxed; symmetry = No. 139; volume = 14.43 Å³/atom
1.0
-2.8288 2.8288 2.2545
2.8288 -2.8288 2.2545
2.8288 2.8288 -2.2545
Y Co
1 4
direct
0.0000 0.0000 0.0000
0.1990 0.5000 0.6990
0.5000 0.1990 0.6990
0.5000 0.8010 0.3010
0.8010 0.5000 0.3010


b) YCo4 PBE-GGA relaxed; symmetry = No. 139; volume = 14.81 Å³/atom
1.0
-1.9566 1.9566 4.8356
1.9566 -1.9566 4.8356
1.9566 1.9566 -4.8356
Y Co
1 4
direct
0.0000 0.0000 0.0000
0.2500 0.7500 0.5000
0.3813 0.3813 0.0000
0.6187 0.6187 0.0000
0.7500 0.2500 0.5000


Each structure's energy above the most stable one, in eV/atom: a) 0.172; b) 0.000.


a) Y5Co3 PBE-GGA relaxed; symmetry = No. 193; volume = 22.34 Å³/atom
1.0
8.0903 0.0000 0.0000
-4.0451 7.0064 0.0000
0.0000 0.0000 6.3056
Y Co
10 6
direct
0.0000 0.2568 0.2500
0.0000 0.7432 0.7500
0.2568 0.0000 0.2500
0.2568 0.2568 0.7500
0.3333 0.6667 0.0000
0.3333 0.6667 0.5000
0.6667 0.3333 0.0000
0.6667 0.3333 0.5000
0.7432 0.0000 0.7500
0.7432 0.7432 0.2500
0.0000 0.3926 0.7500
0.0000 0.6074 0.2500
0.3926 0.0000 0.7500
0.3926 0.3926 0.2500
0.6074 0.0000 0.2500
0.6074 0.6074 0.7500


b) Y5Co3 PBE-GGA relaxed; symmetry = No. 140; volume = 22.53 Å³/atom
1.0
-3.5423 3.5423 7.1829
3.5423 -3.5423 7.1829
3.5423 3.5423 -7.1829
Y Co
10 6
direct
0.0000 0.0000 0.0000
0.0340 0.5340 0.8553
0.1787 0.0340 0.5000
0.3213 0.8213 0.8553
0.4660 0.3213 0.5000
0.5000 0.5000 0.0000
0.5340 0.6787 0.5000
0.6787 0.1787 0.1447
0.8213 0.9660 0.5000
0.9660 0.4660 0.1447
0.1114 0.3886 0.5000
0.2500 0.2500 0.0000
0.3886 0.8886 0.2772
0.6114 0.1114 0.7228
0.7500 0.7500 0.0000
0.8886 0.6114 0.5000


c) Y5Co3 PBE-GGA relaxed; symmetry = No. 65; volume = 22.27 Å³/atom
1.0
3.7705 -5.2425 0.0000
3.7705 5.2425 0.0000
0.0000 0.0000 4.5072
Y Co
5 3
direct
0.0000 0.0000 0.0000
0.0000 0.5000 0.0000
0.2941 0.2941 0.5000
0.5000 0.0000 0.0000
0.7059 0.7059 0.5000
0.1830 0.8170 0.5000
0.5000 0.5000 0.0000
0.8170 0.1830 0.5000


Each structure's energy above the most stable one, in eV/atom: a) 0.042; b) 0.000; c) 0.210.


a) Y2Zn2Co PBE-GGA relaxed; symmetry = No. 12; volume = 20.80 Å³/atom
1.0
5.3934 -1.9091 0.0000
5.3934 1.9091 0.0000
-5.0542 0.0000 10.1027
Y Zn Co
4 4 2
direct
0.0595 0.0595 0.3538
0.2075 0.2075 0.1219
0.7925 0.7925 0.8781
0.9405 0.9405 0.6462
0.3687 0.3687 0.4177
0.4875 0.4875 0.1143
0.5125 0.5125 0.8857
0.6313 0.6313 0.5823
0.2776 0.2776 0.6904
0.7224 0.7224 0.3096


b) Y2Zn2Co PBE-GGA relaxed; symmetry = No. 139; volume = 21.26 Å³/atom
1.0
-1.7378 1.7378 8.7984
1.7378 -1.7378 8.7984
1.7378 1.7378 -8.7984
Y Zn Co
2 2 1
direct
0.0921 0.0921 0.0000
0.9079 0.9079 0.0000
0.2500 0.7500 0.5000
0.7500 0.2500 0.5000
0.5000 0.5000 0.0000


c) Y2Zn2Co PBE-GGA relaxed; symmetry = No. 127; volume = 20.58 Å³/atom
1.0
6.8442 0.0000 0.0000
0.0000 6.8442 0.0000
0.0000 0.0000 4.3934
Y Zn Co
4 4 2
direct
0.1798 0.3202 0.0000
0.3202 0.8202 0.0000
0.6798 0.1798 0.0000
0.8202 0.6798 0.0000
0.1308 0.6308 0.5000
0.3692 0.1308 0.5000
0.6308 0.8692 0.5000
0.8692 0.3692 0.5000
0.0000 0.0000 0.5000
0.5000 0.5000 0.5000


Each structure's energy above the most stable one, in eV/atom: a) 0.000; b) 0.255; c) 0.197.